A geometry-optimized Tm5ScSn6 structure, computed with PBE.

Calculated values
Energy of formation, eV/atom: -0.573
Space group: C2/m (12)
Fermi-level density of states, states/eV/cell: 5.92

Unit cell a=7.4108 b=7.4108 c=8.4155 alpha=94.56 beta=94.56 gamma=135.70
Last column: nearest neighbours and their distance in Å.
Fractional coordinates of all 12 atoms:
Tm (0.0000, 0.0000, 0.0000)  6 Sn 3.12-3.19
Tm (0.3296, 0.6704, 0.0000)  6 Sn 3.12-3.14
Tm (0.3368, 0.6632, 0.5000)  6 Sn 3.10-3.13
Tm (0.6632, 0.3368, 0.5000)  6 Sn 3.10-3.13
Tm (0.6704, 0.3296, 0.0000)  6 Sn 3.12-3.14
Sc (0.0000, 0.0000, 0.5000)  6 Sn 3.04-3.06
Sn (0.1590, 0.8312, 0.2560)  1 Sc 3.04, 5 Tm 3.12-3.14
Sn (0.1688, 0.8410, 0.7440)  1 Sc 3.04, 5 Tm 3.12-3.14
Sn (0.4823, 0.4823, 0.7525)  1 Sc 3.06, 5 Tm 3.10-3.19
Sn (0.5177, 0.5177, 0.2475)  1 Sc 3.06, 5 Tm 3.10-3.19
Sn (0.8312, 0.1590, 0.2560)  1 Sc 3.04, 5 Tm 3.12-3.14
Sn (0.8410, 0.1688, 0.7440)  1 Sc 3.04, 5 Tm 3.12-3.14